{
  "formula": "AcTb4Nd4",
  "functional": "PBE",
  "state": "relaxed",
  "delta_e_f_ev_per_atom": 0.03,
  "magnetic_moment_mub_per_cell": 0.00,
  "volume_a3_per_fu": 313.3,
  "cell": [[5.176, 0.000, 0.000], [2.588, 7.780, 0.000], [2.588, 0.000, 7.780]],
  "species": ["Tb", "Tb", "Tb", "Tb", "Nd", "Nd", "Nd", "Nd", "Ac"],
  "frac_coords": [[0.662, 0.338, 0.338], [0.338, 0.662, 0.662], [0.000, 0.338, 0.662], [0.000, 0.662, 0.338], [0.670, 0.000, 0.659], [0.670, 0.659, 0.000], [0.330, 0.341, 0.000], [0.330, 0.000, 0.341], [0.000, 0.000, 0.000]]
}

{
  "formula": "Ca3AcAl8",
  "functional": "PBE",
  "state": "relaxed",
  "delta_e_f_ev_per_atom": -0.33,
  "magnetic_moment_mub_per_cell": 0.00,
  "volume_a3_per_fu": 267.3,
  "cell": [[5.719, 0.000, 0.000], [2.859, 4.953, 0.000], [2.859, 1.651, 9.439]],
  "species": ["Al", "Al", "Al", "Al", "Al", "Al", "Al", "Al", "Ca", "Ca", "Ca", "Ac"],
  "frac_coords": [[0.940, 0.439, 0.182], [0.688, 0.688, 0.937], [0.439, 0.439, 0.182], [0.936, 0.936, 0.692], [0.436, 0.936, 0.692], [0.936, 0.436, 0.692], [0.439, 0.940, 0.182], [0.187, 0.187, 0.439], [0.001, 0.001, 0.997], [0.375, 0.375, 0.875], [0.498, 0.498, 0.505], [0.875, 0.875, 0.375]]
}

{
  "formula": "GaReSbTe2",
  "functional": "PBE",
  "state": "relaxed",
  "magnetic_moment_mub_per_cell": 0.67,
  "volume_a3_per_fu": 149.7,
  "e_form_raw_mev_per_atom": 657,
  "cell": [[-2.383, 4.804, 0.629], [-4.424, -1.871, -2.467], [-1.879, -1.525, 4.526]],
  "species": ["Te", "Te", "Ga", "Re", "Sb"],
  "frac_coords": [[0.500, 0.000, 0.000], [0.000, 0.500, 0.000], [0.500, 0.500, 0.500], [0.000, 0.000, 0.000], [0.000, 0.000, 0.500]]
}

{
  "formula": "RbNa6Ag6",
  "functional": "PBE",
  "state": "relaxed",
  "delta_e_f_ev_per_atom": -0.02,
  "magnetic_moment_mub_per_cell": 0.00,
  "volume_a3_per_fu": 325.7,
  "cell": [[5.407, 0.000, 2.161], [2.730, 7.482, 1.014], [-0.072, -0.251, 8.024]],
  "species": ["Na", "Na", "Na", "Na", "Na", "Na", "Ag", "Ag", "Ag", "Ag", "Ag", "Ag", "Rb"],
  "frac_coords": [[0.000, 0.663, 0.337], [0.000, 0.337, 0.663], [0.650, 0.350, 0.350], [0.309, 0.191, 0.191], [0.691, 0.809, 0.809], [0.350, 0.650, 0.650], [0.500, 0.500, 0.000], [0.500, 0.000, 0.500], [0.000, 0.000, 0.500], [0.000, 0.500, 0.000], [0.500, 0.239, 0.761], [0.500, 0.761, 0.239], [0.000, 0.000, 0.000]]
}

{
  "formula": "Tb2Pm2Hg",
  "functional": "PBE",
  "state": "relaxed",
  "delta_e_f_ev_per_atom": -0.05,
  "magnetic_moment_mub_per_cell": 0.00,
  "volume_a3_per_fu": 164.3,
  "cell": [[5.147, 0.000, 0.000], [0.000, 5.147, 0.000], [-2.574, -2.574, 12.401]],
  "species": ["Pm", "Pm", "Pm", "Pm", "Hg", "Hg", "Tb", "Tb", "Tb", "Tb"],
  "frac_coords": [[0.421, 0.921, 0.843], [0.671, 0.671, 0.343], [0.329, 0.329, 0.657], [0.079, 0.579, 0.157], [0.500, 0.500, 0.000], [0.250, 0.750, 0.500], [0.571, 0.071, 0.141], [0.179, 0.179, 0.359], [0.929, 0.429, 0.859], [0.821, 0.821, 0.641]]
}

{
  "formula": "ErTlAs",
  "functional": "PBE",
  "state": "relaxed",
  "delta_e_f_ev_per_atom": -0.52,
  "magnetic_moment_mub_per_cell": 0.00,
  "volume_a3_per_fu": 87.3,
  "cell": [[4.970, 0.000, 0.000], [0.000, 4.970, 0.000], [0.000, 0.000, 7.067]],
  "species": ["Er", "Er", "Tl", "Tl", "As", "As"],
  "frac_coords": [[0.500, 0.500, 0.500], [0.000, 0.000, 0.500], [0.500, 0.000, 0.129], [0.000, 0.500, 0.871], [0.500, 0.000, 0.698], [0.000, 0.500, 0.302]]
}

{
  "formula": "CdInGa2",
  "functional": "PBE",
  "state": "relaxed",
  "delta_e_f_ev_per_atom": 0.05,
  "magnetic_moment_mub_per_cell": 0.00,
  "volume_a3_per_fu": 88.6,
  "cell": [[-4.010, -1.902, -0.673], [0.673, -2.656, 3.497], [-1.880, 3.023, 2.658]],
  "species": ["Cd", "Ga", "Ga", "In"],
  "frac_coords": [[0.500, 0.000, 0.000], [0.000, 0.000, 0.500], [0.000, 0.500, 0.000], [0.500, 0.500, 0.500]]
}

{
  "formula": "Zn2Ru2Pb",
  "functional": "PBE",
  "state": "relaxed",
  "delta_e_f_ev_per_atom": 0.20,
  "magnetic_moment_mub_per_cell": 0.00,
  "volume_a3_per_fu": 83.6,
  "cell": [[7.004, 0.000, 0.000], [0.000, 7.004, 0.000], [0.000, 0.000, 3.407]],
  "species": ["Ru", "Ru", "Ru", "Ru", "Zn", "Zn", "Zn", "Zn", "Pb", "Pb"],
  "frac_coords": [[0.144, 0.356, 0.000], [0.356, 0.856, 0.000], [0.644, 0.144, 0.000], [0.856, 0.644, 0.000], [0.853, 0.353, 0.500], [0.147, 0.647, 0.500], [0.353, 0.147, 0.500], [0.647, 0.853, 0.500], [0.000, 0.000, 0.000], [0.500, 0.500, 0.000]]
}

{
  "formula": "GaPRu3",
  "functional": "PBE",
  "state": "relaxed",
  "delta_e_f_ev_per_atom": 1.53,
  "magnetic_moment_mub_per_cell": 0.04,
  "volume_a3_per_fu": 90.8,
  "cell": [[4.495, 0.000, 0.000], [0.000, 4.495, 0.000], [0.000, 0.000, 4.495]],
  "species": ["P", "Ga", "Ru", "Ru", "Ru"],
  "frac_coords": [[0.500, 0.500, 0.500], [0.000, 0.000, 0.000], [0.000, 0.000, 0.500], [0.500, 0.000, 0.000], [0.000, 0.500, 0.000]]
}

{
  "formula": "NdNi3Sn3",
  "functional": "PBE",
  "state": "relaxed",
  "delta_e_f_ev_per_atom": 0.01,
  "magnetic_moment_mub_per_cell": 0.00,
  "volume_a3_per_fu": 164.4,
  "cell": [[-2.764, -4.130, -4.789], [5.372, -4.292, 0.601], [-3.338, -3.487, 4.933]],
  "species": ["Ni", "Ni", "Ni", "Ni", "Ni", "Ni", "Sn", "Sn", "Sn", "Sn", "Sn", "Sn", "Nd", "Nd"],
  "frac_coords": [[0.500, 0.250, 0.000], [0.000, 0.500, 0.250], [0.500, 0.750, 0.000], [0.250, 0.000, 0.500], [0.750, 0.000, 0.500], [0.000, 0.500, 0.750], [0.500, 0.000, 0.250], [0.000, 0.750, 0.500], [0.250, 0.500, 0.000], [0.000, 0.250, 0.500], [0.500, 0.000, 0.750], [0.750, 0.500, 0.000], [0.500, 0.500, 0.500], [0.000, 0.000, 0.000]]
}

{
  "formula": "Sc2CrCu",
  "functional": "PBE",
  "state": "relaxed",
  "delta_e_f_ev_per_atom": 0.17,
  "magnetic_moment_mub_per_cell": 2.73,
  "volume_a3_per_fu": 72.4,
  "cell": [[-5.354, -0.719, 0.239], [-2.095, -1.733, 4.674], [3.407, 3.876, -1.617]],
  "species": ["Cr", "Sc", "Sc", "Cu"],
  "frac_coords": [[0.500, 0.500, 0.000], [0.250, 0.750, 0.500], [0.000, 0.000, 0.000], [0.750, 0.250, 0.500]]
}

{
  "formula": "AlVSe2Br",
  "functional": "PBE",
  "state": "relaxed",
  "magnetic_moment_mub_per_cell": 1.21,
  "volume_a3_per_fu": 125.7,
  "e_form_raw_mev_per_atom": -134,
  "cell": [[-2.019, -4.310, 0.805], [2.861, -1.966, -3.354], [3.713, -1.035, 3.774]],
  "species": ["Al", "Br", "Se", "Se", "V"],
  "frac_coords": [[0.500, 0.500, 0.500], [0.000, 0.000, 0.500], [0.500, 0.000, 0.000], [0.000, 0.500, 0.000], [0.000, 0.000, 0.000]]
}